Entry 1:
4
Lattice="5.891 0.000 0.000 2.945 5.102 0.000 2.945 1.701 4.810" Properties=species:S:1:pos:R:3 comment="PBE NdEu2Er, relaxed" e_tot_ev_per_atom=-7.3166 formation_energy_mev_per_atom=153 relative_energy_ev_per_atom=0.0581 pbc="T T T"
Eu 2.945 1.701 1.202
Eu 8.836 5.102 3.607
Nd 5.891 3.401 2.405
Er 0.000 0.000 0.000

---

Entry 2:
4
Lattice="-2.060 3.035 0.232 0.201 -0.144 3.667 8.817 6.003 -0.247" Properties=species:S:1:pos:R:3 comment="PBE NdEu2Er, relaxed" e_tot_ev_per_atom=-7.3630 formation_energy_mev_per_atom=107 relative_energy_ev_per_atom=0.0117 pbc="T T T"
Eu 6.667 4.539 -0.187
Eu 2.151 1.464 -0.060
Nd 3.479 4.447 1.826
Er -0.929 1.445 1.950

---

Entry 3:
4
Lattice="5.760 0.000 0.000 2.880 4.988 0.000 2.880 1.663 4.703" Properties=species:S:1:pos:R:3 comment="PBE NdEuEr2, relaxed" e_tot_ev_per_atom=-5.8962 formation_energy_mev_per_atom=146 relative_energy_ev_per_atom=0.0765 pbc="T T T"
Eu 0.000 0.000 0.000
Nd 5.760 3.325 2.351
Er 2.880 1.663 1.176
Er 8.639 4.988 3.527

---

Entry 4:
4
Lattice="-3.453 -0.847 -0.560 -1.829 -1.840 2.494 -5.336 10.067 6.111" Properties=species:S:1:pos:R:3 comment="PBE Nd2EuEr, relaxed" e_tot_ev_per_atom=-5.9586 formation_energy_mev_per_atom=135 relative_energy_ev_per_atom=0.0982 pbc="T T T"
Eu 0.000 0.000 0.000
Nd -4.354 7.057 4.610
Nd -6.264 0.324 3.436
Er -5.309 3.690 4.023

---

Entry 5:
4
Lattice="-1.596 -1.572 -2.915 -1.878 -2.236 2.234 -7.730 6.966 0.474" Properties=species:S:1:pos:R:3 comment="PBE Nd2EuEr, relaxed" e_tot_ev_per_atom=-6.0568 formation_energy_mev_per_atom=36 relative_energy_ev_per_atom=0.0000 pbc="T T T"
Eu -5.602 1.579 -0.104
Nd -5.918 5.333 0.363
Nd -1.812 1.633 0.111
Er -1.737 -1.904 -0.341

---

Entry 6:
4
Lattice="5.838 0.000 0.000 2.919 5.056 0.000 2.919 1.685 4.767" Properties=species:S:1:pos:R:3 comment="PBE Nd2EuEr, relaxed" e_tot_ev_per_atom=-5.9617 formation_energy_mev_per_atom=132 relative_energy_ev_per_atom=0.0951 pbc="T T T"
Eu 0.000 0.000 0.000
Nd 2.919 1.685 1.192
Nd 8.757 5.056 3.575
Er 5.838 3.371 2.383

---

Entry 7:
4
Lattice="4.074 0.000 0.000 0.000 5.956 0.000 0.000 0.000 5.956" Properties=species:S:1:pos:R:3 comment="PBE NdEu2Er, relaxed" e_tot_ev_per_atom=-7.3105 formation_energy_mev_per_atom=159 relative_energy_ev_per_atom=0.0642 pbc="T T T"
Eu 0.000 0.000 2.978
Eu 0.000 2.978 0.000
Nd 2.037 2.978 2.978
Er 2.037 0.000 0.000

---

Entry 8:
4
Lattice="-3.799 0.727 0.237 -0.479 -0.556 -5.969 -1.085 -5.881 0.635" Properties=species:S:1:pos:R:3 comment="PBE Nd2EuEr, relaxed" e_tot_ev_per_atom=-5.9699 formation_energy_mev_per_atom=123 relative_energy_ev_per_atom=0.0869 pbc="T T T"
Eu -2.682 -2.855 -2.549
Nd -0.543 -2.940 0.317
Nd -0.239 -0.278 -2.984
Er -1.900 0.363 0.119

---

Entry 9:
3
Lattice="-3.130 1.222 1.524 -0.913 -3.460 0.899 5.655 1.930 5.602" Properties=species:S:1:pos:R:3 comment="PBE NdEuEr, relaxed" e_tot_ev_per_atom=-6.4854 formation_energy_mev_per_atom=50 pbc="T T T"
Eu 1.598 -0.311 7.998
Nd -0.747 -0.835 3.601
Er 2.373 0.530 4.450

---

Entry 10:
4
Lattice="3.689 0.000 0.000 1.844 3.195 0.000 1.844 1.065 12.234" Properties=species:S:1:pos:R:3 comment="PBE NdEu2Er, relaxed" e_tot_ev_per_atom=-7.3747 formation_energy_mev_per_atom=95 relative_energy_ev_per_atom=0.0000 pbc="T T T"
Eu 5.533 3.195 9.236
Eu 1.844 1.065 2.997
Nd 3.689 2.130 6.117
Er 0.000 0.000 0.000

---

Entry 11:
4
Lattice="5.825 0.000 0.000 2.913 5.045 0.000 2.913 1.682 4.756" Properties=species:S:1:pos:R:3 comment="PBE PmNdEuEr, relaxed" e_tot_ev_per_atom=-5.9336 formation_energy_mev_per_atom=155 pbc="T T T"
Eu 0.000 0.000 0.000
Pm 5.825 3.363 2.378
Nd 8.738 5.045 3.567
Er 2.913 1.682 1.189

---

Entry 12:
4
Lattice="-2.448 4.695 2.492 -4.296 2.868 -2.751 -5.481 -0.289 2.032" Properties=species:S:1:pos:R:3 comment="PBE PrNdEuEr, relaxed" e_tot_ev_per_atom=-5.9688 formation_energy_mev_per_atom=127 pbc="T T T"
Eu -6.113 3.637 0.886
Pr -9.169 5.455 1.330
Nd -3.056 1.818 0.443
Er 0.000 0.000 0.000